(1)
TiVSBr2 | PBE-GGA | optimized geometry

Summary:
* energy relative to the elements, uncorrected: 0.6543 eV/atom

Cell and atoms, written as CIF:
```
data_TiVSBr2
_space_group_name_H-M_alt 'P 4/m m m'
_space_group_IT_number 123
_space_group_name_Hall '-P 4 2'
_cell_length_a 5.949
_cell_length_b 5.949
_cell_length_c 4.271
_cell_angle_alpha 90.00
_cell_angle_beta 90.00
_cell_angle_gamma 90.00
loop_
_atom_site_label
_atom_site_fract_x
_atom_site_fract_y
_atom_site_fract_z
Ti1 0.000 0.000 0.000
V1 0.500 0.500 0.000
S1 0.500 0.500 0.500
Br1 0.000 0.500 0.500
```


(2)
Pm2Pr3Er4 | PBE-GGA | optimized geometry

Summary:
* E_form: 1.85 kJ/mol of atoms

Cell and atoms, written as CIF:
```
data_Pm2Pr3Er4
_space_group_name_H-M_alt 'P -1'
_space_group_IT_number 2
_cell_length_a 6.243
_cell_length_b 6.254
_cell_length_c 8.053
_cell_angle_alpha 82.73
_cell_angle_beta 75.16
_cell_angle_gamma 80.34
loop_
_space_group_symop_operation_xyz
'x,y,z'
'-x,-y,-z'
loop_
_atom_site_label
_atom_site_fract_x
_atom_site_fract_y
_atom_site_fract_z
Pm1 0.168 0.333 0.333
Pr1 0.058 0.111 0.776
Pr2 0.500 0.000 0.000
Er1 0.278 0.553 0.888
Er2 0.390 0.774 0.447
```


(3)
CdTe2Pb | PBE-GGA | optimized geometry

Summary:
* energy relative to the elements, uncorrected: -0.0650 eV/atom

Cell and atoms, written as CIF:
```
data_CdTe2Pb
_space_group_name_H-M_alt 'F m -3 m'
_space_group_IT_number 225
_space_group_name_Hall '-F 4 2 3'
_cell_length_a 7.789
_cell_length_b 7.789
_cell_length_c 7.789
_cell_angle_alpha 90.00
_cell_angle_beta 90.00
_cell_angle_gamma 90.00
loop_
_atom_site_label
_atom_site_fract_x
_atom_site_fract_y
_atom_site_fract_z
Cd1 0.000 0.000 0.000
Te1 0.250 0.250 0.250
Pb1 0.000 0.000 0.500
```


(4)
Fe2RuPb | PBE-GGA | optimized geometry

Summary:
* E_form: 47.89 kJ/mol of atoms

Cell and atoms, written as CIF:
```
data_Fe2RuPb
_space_group_name_H-M_alt 'I 4/m m m'
_space_group_IT_number 139
_space_group_name_Hall '-I 4 2'
_cell_length_a 3.925
_cell_length_b 3.925
_cell_length_c 8.057
_cell_angle_alpha 90.00
_cell_angle_beta 90.00
_cell_angle_gamma 90.00
loop_
_atom_site_label
_atom_site_fract_x
_atom_site_fract_y
_atom_site_fract_z
Fe1 0.000 0.500 0.250
Ru1 0.000 0.000 0.000
Pb1 0.000 0.000 0.500
```


(5)
RbCr2Hg | PBE-GGA | optimized geometry

Summary:
* E_form: 96.61 kJ/mol of atoms

Cell and atoms, written as CIF:
```
data_RbCr2Hg
_space_group_name_H-M_alt 'I 41/a m d'
_space_group_IT_number 141
_cell_length_a 5.680
_cell_length_b 5.680
_cell_length_c 19.214
_cell_angle_alpha 90.00
_cell_angle_beta 90.00
_cell_angle_gamma 90.00
loop_
_space_group_symop_operation_xyz
'x,y,z'
'-x,-y,-z'
'-y+1/4,x+3/4,z+1/4'
'y+1/4,-x+3/4,-z+1/4'
'-x+1/2,-y,z+1/2'
'x+1/2,y,-z+1/2'
'y+1/4,-x+1/4,z+3/4'
'-y+1/4,x+1/4,-z+3/4'
'x,-y,-z'
'-x,y,z'
'-y+1/4,-x+1/4,-z+3/4'
'y+1/4,x+1/4,z+3/4'
'-x+1/2,y,-z+1/2'
'x+1/2,-y,z+1/2'
'y+1/4,x+3/4,-z+1/4'
'-y+1/4,-x+3/4,z+1/4'
'x+1/2,y+1/2,z+1/2'
'-x+1/2,-y+1/2,-z+1/2'
'-y+3/4,x+1/4,z+3/4'
'y+3/4,-x+1/4,-z+3/4'
'-x,-y+1/2,z'
'x,y+1/2,-z'
'y+3/4,-x+3/4,z+1/4'
'-y+3/4,x+3/4,-z+1/4'
'x+1/2,-y+1/2,-z+1/2'
'-x+1/2,y+1/2,z+1/2'
'-y+3/4,-x+3/4,-z+1/4'
'y+3/4,x+3/4,z+1/4'
'-x,y+1/2,-z'
'x,-y+1/2,z'
'y+3/4,x+1/4,-z+3/4'
'-y+3/4,-x+1/4,z+3/4'
loop_
_atom_site_label
_atom_site_fract_x
_atom_site_fract_y
_atom_site_fract_z
Rb1 0.000 0.250 0.375
Cr1 0.000 0.000 0.000
Hg1 0.000 0.250 0.875
```


(6)
Pr3SiRh3 | PBE-GGA | optimized geometry

Summary:
* energy relative to the elements, uncorrected: -0.7710 eV/atom

Cell and atoms, written as CIF:
```
data_Pr3SiRh3
_space_group_name_H-M_alt 'C 1 2/m 1'
_space_group_IT_number 12
_cell_length_a 10.855
_cell_length_b 4.112
_cell_length_c 14.957
_cell_angle_alpha 90.00
_cell_angle_beta 109.89
_cell_angle_gamma 90.00
loop_
_space_group_symop_operation_xyz
'x,y,z'
'-x,-y,-z'
'-x,y,-z'
'x,-y,z'
'x+1/2,y+1/2,z'
'-x+1/2,-y+1/2,-z'
'-x+1/2,y+1/2,-z'
'x+1/2,-y+1/2,z'
loop_
_atom_site_label
_atom_site_fract_x
_atom_site_fract_y
_atom_site_fract_z
Pr1 0.018 0.000 0.381
Pr2 0.105 0.000 0.926
Pr3 0.241 0.000 0.223
Si1 0.235 0.500 0.389
Rh1 0.043 0.500 0.241
Rh2 0.123 0.500 0.076
Rh3 0.177 0.500 0.536
```


(7)
Ta2IrI | PBE-GGA | optimized geometry

Summary:
* energy relative to the elements, uncorrected: 0.5184 eV/atom

Cell and atoms, written as CIF:
```
data_Ta2IrI
_space_group_name_H-M_alt 'F m -3 m'
_space_group_IT_number 225
_space_group_name_Hall '-F 4 2 3'
_cell_length_a 6.636
_cell_length_b 6.636
_cell_length_c 6.636
_cell_angle_alpha 90.00
_cell_angle_beta 90.00
_cell_angle_gamma 90.00
loop_
_atom_site_label
_atom_site_fract_x
_atom_site_fract_y
_atom_site_fract_z
Ta1 0.250 0.250 0.250
Ir1 0.000 0.000 0.000
I1 0.000 0.000 0.500
```


(8)
RbIn2Ge | PBE-GGA | optimized geometry

Summary:
* E_form: -1.42 kJ/mol of atoms

Cell and atoms, written as CIF:
```
data_RbIn2Ge
_space_group_name_H-M_alt 'P 4/n m m'
_space_group_IT_number 129
_cell_length_a 4.826
_cell_length_b 4.826
_cell_length_c 10.971
_cell_angle_alpha 90.00
_cell_angle_beta 90.00
_cell_angle_gamma 90.00
loop_
_space_group_symop_operation_xyz
'x,y,z'
'-x,-y,-z'
'-y+1/2,x,z'
'y+1/2,-x,-z'
'-x+1/2,-y+1/2,z'
'x+1/2,y+1/2,-z'
'y,-x+1/2,z'
'-y,x+1/2,-z'
'x+1/2,-y,-z'
'-x+1/2,y,z'
'-y,-x,-z'
'y,x,z'
'-x,y+1/2,-z'
'x,-y+1/2,z'
'y+1/2,x+1/2,-z'
'-y+1/2,-x+1/2,z'
loop_
_atom_site_label
_atom_site_fract_x
_atom_site_fract_y
_atom_site_fract_z
Rb1 0.250 0.250 0.243
In1 0.250 0.250 0.928
In2 0.250 0.750 0.500
Ge1 0.250 0.250 0.650
```


no.,ρ (g/cm3),V (Å³/atom),energy (eV per atom)
1,3.2,30.2,-4.24
2,7.7,33.2,-4.66
3,8.1,29.5,-2.79
4,11.2,15.5,-6.98
5,4.2,38.7,-4.13
6,8.0,22.4,-6.74
7,15.5,18.3,-8.01
8,5.0,31.9,-2.78